1.
DFT (PBE) results for an optimized crystal structure of Pd6Pt2Au3.

Properties
Mass density = 15.2 g/cm3
Electronic total energy = -4.842 eV/atom
Formation energy = -0.0177 eV/atom

Lattice parameters (Å, degrees): 4.9092 4.9170 7.4843 90.33 96.30 99.24
Positions (direct):
Pd: 0.0904 0.1836 0.3700
Pd: 0.2733 0.5441 0.0907
Pd: 0.3619 0.7211 0.4504
Pd: 0.6381 0.2789 0.5496
Pd: 0.7267 0.4559 0.9093
Pd: 0.9096 0.8164 0.6300
Pt: 0.1777 0.3642 0.7251
Pt: 0.8223 0.6358 0.2749
Au: 0.0000 0.0000 0.0000
Au: 0.4530 0.9070 0.8115
Au: 0.5470 0.0930 0.1885



2.
DFT (PBE) results for an optimized crystal structure of Pd6PtAu2.

Properties
Mass density = 13.4 g/cm3
Electronic total energy = -4.735 eV/atom
Distance to the lowest polymorph of the same formula = 160 meV per atom
Formation energy = 0.1265 eV/atom

Lattice parameters (Å, degrees): 6.0449 5.7399 9.3403 90.00 110.29 90.00
Positions (direct):
Pd: 0.0646 0.1335 0.2445
Pd: 0.0646 0.3665 0.7445
Pd: 0.2117 0.1026 0.0031
Pd: 0.2117 0.3974 0.5031
Pd: 0.3695 0.6883 0.9553
Pd: 0.3695 0.8117 0.4553
Pd: 0.6305 0.1883 0.5447
Pd: 0.6305 0.3117 0.0447
Pd: 0.7883 0.6026 0.4969
Pd: 0.7883 0.8974 0.9969
Pd: 0.9354 0.6335 0.2555
Pd: 0.9354 0.8665 0.7555
Pt: 0.0000 0.0000 0.5000
Pt: 0.0000 0.5000 0.0000
Au: 0.4137 0.0401 0.7516
Au: 0.4137 0.4599 0.2516
Au: 0.5863 0.5401 0.7484
Au: 0.5863 0.9599 0.2484



3.
DFT (PBE) results for an optimized crystal structure of Pd4Pt4Au.

Properties
Mass density = 16.4 g/cm3
Electronic total energy = -5.353 eV/atom
Distance to the lowest polymorph of the same formula = 0 meV per atom
Formation energy = 0.0043 eV/atom

Lattice parameters (Å, degrees): 6.2711 6.2711 6.2711 95.88 95.88 142.66
Positions (direct):
Pd: 0.0000 0.3344 0.3344
Pd: 0.0000 0.6656 0.6656
Pd: 0.3344 0.0000 0.3344
Pd: 0.6656 0.0000 0.6656
Pt: 0.3312 0.3312 0.6624
Pt: 0.3312 0.6688 0.0000
Pt: 0.6688 0.3312 0.0000
Pt: 0.6688 0.6688 0.3376
Au: 0.0000 0.0000 0.0000



- Which formula does entry 3 have?
  Pd4Pt4Au